Arrangement one

First-principles (PBE) data for a relaxed Hf3MnOs crystal, as listed in Alexandria via LeMat-Bulk.

abc: 4.9585 4.9585 4.9585
angles: 90.00 90.00 90.00
Sites, in units of the cell vectors:
Hf: 0.0000 0.5000 0.0000
Hf: 0.0000 0.0000 0.5000
Hf: 0.5000 0.0000 0.0000
Mn: 0.5000 0.5000 0.5000
Os: 0.0000 0.0000 0.0000

* symmetry: Pm-3m (221)
* volume: 24.4 Å³/atom
* magnetization: 0.46 μB per formula unit
* crystal system: cubic
* density of states at the Fermi level: 10.389 states/eV/cell

Arrangement two

First-principles (PBE) data for a relaxed Hf3MnOs crystal, as listed in Alexandria via LeMat-Bulk.

abc: 4.6435 4.6435 4.6435
angles: 90.00 90.00 90.00
Sites, in units of the cell vectors:
Hf: 0.0000 0.5000 0.0000
Hf: 0.0000 0.0000 0.5000
Hf: 0.5000 0.0000 0.0000
Mn: 0.0000 0.0000 0.0000
Os: 0.5000 0.5000 0.5000

* symmetry: Pm-3m (221)
* volume: 20.0 Å³/atom
* magnetization: 0.00 μB per formula unit
* crystal system: cubic
* density of states at the Fermi level: 4.101 states/eV/cell

Which of them is the least stable? Correct choice: arrangement one.

Arrangement one

First-principles (PBE) data for a relaxed Hf3MnP crystal, as listed in Alexandria via LeMat-Bulk.

abc: 4.7449 4.7449 4.7449
angles: 90.00 90.00 90.00
Sites, in units of the cell vectors:
P: 0.0000 0.0000 0.0000
Mn: 0.5000 0.5000 0.5000
Hf: 0.0000 0.5000 0.0000
Hf: 0.0000 0.0000 0.5000
Hf: 0.5000 0.0000 0.0000

* symmetry: Pm-3m (221)
* volume: 21.4 Å³/atom
* magnetization: 0.15 μB per formula unit
* crystal system: cubic
* density of states at the Fermi level: 7.134 states/eV/cell

Arrangement two

First-principles (PBE) data for a relaxed Hf3MnP crystal, as listed in Alexandria via LeMat-Bulk.

abc: 4.7107 4.7107 4.7107
angles: 90.00 90.00 90.00
Sites, in units of the cell vectors:
P: 0.5000 0.5000 0.5000
Mn: 0.0000 0.0000 0.0000
Hf: 0.0000 0.5000 0.0000
Hf: 0.0000 0.0000 0.5000
Hf: 0.5000 0.0000 0.0000

* symmetry: Pm-3m (221)
* volume: 20.9 Å³/atom
* magnetization: 0.00 μB per formula unit
* crystal system: cubic
* density of states at the Fermi level: 8.139 states/eV/cell

Which of them is the least stable? Correct choice: arrangement two.